Material: La3InCo
Method: DFT, PBE
State: relaxed

Cell lengths 12.307, 12.307, 12.307 Å; angles 151.75, 151.75, 40.37 degrees
Atoms (fractional coordinates):
La 0.215 0.215 0.000
La 0.372 0.134 0.763
La 0.372 0.609 0.237
La 0.391 0.628 0.763
La 0.785 0.785 0.000
La 0.866 0.628 0.237
In 0.250 0.750 0.500
In 0.500 0.500 0.000
Co 0.702 0.202 0.500
Co 0.798 0.298 0.500

Properties
SG ... No. 119
Total moment ... 0.0 μB per formula unit
Crystal system ... tetragonal
Energy of formation from the pure elements ... 0.61 eV/atom
DOS(E_F) ... 2.080 states/eV/atom

---

Material: BaCrB3
Method: DFT, PBE
State: relaxed

Cell lengths 4.199, 4.199, 4.199 Å; angles 90.00, 90.00, 90.00 degrees
Atoms (fractional coordinates):
Ba 0.000 0.000 0.000
Cr 0.500 0.500 0.500
B 0.000 0.500 0.500
B 0.500 0.000 0.500
B 0.500 0.500 0.000

Properties
SG ... No. 221
Total moment ... 0.0 μB per formula unit
Crystal system ... cubic
Energy of formation from the pure elements ... 0.57 eV/atom
DOS(E_F) ... 0.723 states/eV/atom

---

Material: Nb2VFe3
Method: DFT, PBE
State: relaxed

Cell lengths 5.907, 5.907, 4.870 Å; angles 90.00, 90.00, 90.41 degrees
Atoms (fractional coordinates):
Nb 0.083 0.596 0.750
Nb 0.404 0.917 0.750
Nb 0.596 0.083 0.250
Nb 0.917 0.404 0.250
V 0.403 0.597 0.250
V 0.597 0.403 0.750
Fe 0.088 0.912 0.250
Fe 0.263 0.263 0.000
Fe 0.263 0.263 0.500
Fe 0.737 0.737 0.000
Fe 0.737 0.737 0.500
Fe 0.912 0.088 0.750

Properties
SG ... No. 63
Total moment ... 1.1 μB per formula unit
Crystal system ... orthorhombic
Energy of formation from the pure elements ... 0.11 eV/atom
DOS(E_F) ... 1.170 states/eV/atom